Record 1
Density functional theory data (PBE) for a relaxed PuMgTe crystal.

Geometry as CIF:
```
data_PuMgTe
_chemical_formula_sum 'Pu1 Mg1 Te1'
_cell_length_a 5.0693
_cell_length_b 5.0693
_cell_length_c 5.0693
_cell_angle_alpha 60.00
_cell_angle_beta 60.00
_cell_angle_gamma 60.00
_space_group_name_H-M_alt 'P 1'
_space_group_IT_number 1
_space_group_name_Hall 'P 1'
loop_
_atom_site_label
_atom_site_fract_x
_atom_site_fract_y
_atom_site_fract_z
Te1 0.2500 0.2500 0.2500
Mg1 0.7500 0.7500 0.7500
Pu1 0.0000 0.0000 0.0000
```

## Properties
- Distance to the lowest polymorph of the same formula: 3 meV per atom
- VASP energy: -6.470 eV per atom
- SG: F-43m

***

Record 2
Density functional theory data (PBE) for a relaxed PuThMg crystal.

Geometry as CIF:
```
data_PuThMg
_chemical_formula_sum 'Pu1 Th1 Mg1'
_cell_length_a 5.0603
_cell_length_b 5.0603
_cell_length_c 5.0603
_cell_angle_alpha 60.00
_cell_angle_beta 60.00
_cell_angle_gamma 60.00
_space_group_name_H-M_alt 'P 1'
_space_group_IT_number 1
_space_group_name_Hall 'P 1'
loop_
_atom_site_label
_atom_site_fract_x
_atom_site_fract_y
_atom_site_fract_z
Th1 0.5000 0.5000 0.5000
Pu1 0.2500 0.2500 0.2500
Mg1 0.0000 0.0000 0.0000
```

## Properties
- Distance to the lowest polymorph of the same formula: 0 meV per atom
- VASP energy: -7.034 eV per atom
- SG: F-43m

***

Record 3
Density functional theory data (PBE) for a relaxed PuMgTl crystal.

Geometry as CIF:
```
data_PuMgTl
_chemical_formula_sum 'Pu1 Mg1 Tl1'
_cell_length_a 5.0612
_cell_length_b 5.0612
_cell_length_c 5.0612
_cell_angle_alpha 60.00
_cell_angle_beta 60.00
_cell_angle_gamma 60.00
_space_group_name_H-M_alt 'P 1'
_space_group_IT_number 1
_space_group_name_Hall 'P 1'
loop_
_atom_site_label
_atom_site_fract_x
_atom_site_fract_y
_atom_site_fract_z
Mg1 0.2500 0.2500 0.2500
Pu1 0.7500 0.7500 0.7500
Tl1 0.0000 0.0000 0.0000
```

## Properties
- VASP energy: -5.841 eV per atom
- SG: F-43m

***

Record 4
Density functional theory data (PBE) for a relaxed TmPuMg crystal.

Geometry as CIF:
```
data_TmPuMg
_chemical_formula_sum 'Tm1 Pu1 Mg1'
_cell_length_a 5.1845
_cell_length_b 5.1845
_cell_length_c 5.1845
_cell_angle_alpha 60.00
_cell_angle_beta 60.00
_cell_angle_gamma 60.00
_space_group_name_H-M_alt 'P 1'
_space_group_IT_number 1
_space_group_name_Hall 'P 1'
loop_
_atom_site_label
_atom_site_fract_x
_atom_site_fract_y
_atom_site_fract_z
Tm1 0.7500 0.7500 0.7500
Pu1 0.2500 0.2500 0.2500
Mg1 0.0000 0.0000 0.0000
```

## Properties
- Distance to the lowest polymorph of the same formula: 0 meV per atom
- VASP energy: -6.154 eV per atom
- SG: F-43m

***

Record 5
Density functional theory data (PBE) for a relaxed PuMgW crystal.

Geometry as CIF:
```
data_PuMgW
_chemical_formula_sum 'Pu1 Mg1 W1'
_cell_length_a 4.5396
_cell_length_b 4.5396
_cell_length_c 4.5396
_cell_angle_alpha 60.00
_cell_angle_beta 60.00
_cell_angle_gamma 60.00
_space_group_name_H-M_alt 'P 1'
_space_group_IT_number 1
_space_group_name_Hall 'P 1'
loop_
_atom_site_label
_atom_site_fract_x
_atom_site_fract_y
_atom_site_fract_z
Pu1 0.0000 0.0000 0.0000
Mg1 0.2500 0.2500 0.2500
W1 0.7500 0.7500 0.7500
```

## Properties
- Distance to the lowest polymorph of the same formula: 587 meV per atom
- VASP energy: -8.018 eV per atom
- SG: F-43m

***

Record 6
Density functional theory data (PBE) for a relaxed PuMgW crystal.

Geometry as CIF:
```
data_PuMgW
_chemical_formula_sum 'Pu1 Mg1 W1'
_cell_length_a 4.5193
_cell_length_b 4.5193
_cell_length_c 4.5193
_cell_angle_alpha 60.00
_cell_angle_beta 60.00
_cell_angle_gamma 60.00
_space_group_name_H-M_alt 'P 1'
_space_group_IT_number 1
_space_group_name_Hall 'P 1'
loop_
_atom_site_label
_atom_site_fract_x
_atom_site_fract_y
_atom_site_fract_z
Mg1 0.0000 0.0000 0.0000
Pu1 0.5000 0.5000 0.5000
W1 0.2500 0.2500 0.2500
```

## Properties
- Distance to the lowest polymorph of the same formula: 0 meV per atom
- VASP energy: -8.605 eV per atom
- SG: F-43m

***

Record 7
Density functional theory data (PBE) for a relaxed YPuMg crystal.

Geometry as CIF:
```
data_YPuMg
_chemical_formula_sum 'Y1 Pu1 Mg1'
_cell_length_a 5.2326
_cell_length_b 5.2326
_cell_length_c 5.2326
_cell_angle_alpha 60.00
_cell_angle_beta 60.00
_cell_angle_gamma 60.00
_space_group_name_H-M_alt 'P 1'
_space_group_IT_number 1
_space_group_name_Hall 'P 1'
loop_
_atom_site_label
_atom_site_fract_x
_atom_site_fract_y
_atom_site_fract_z
Pu1 0.2500 0.2500 0.2500
Mg1 0.0000 0.0000 0.0000
Y1 0.7500 0.7500 0.7500
```

## Properties
- Distance to the lowest polymorph of the same formula: 0 meV per atom
- VASP energy: -6.831 eV per atom
- SG: F-43m

***

Record 8
Density functional theory data (PBE) for a relaxed PuMgZr crystal.

Geometry as CIF:
```
data_PuMgZr
_chemical_formula_sum 'Pu1 Mg1 Zr1'
_cell_length_a 4.9570
_cell_length_b 4.9570
_cell_length_c 4.9570
_cell_angle_alpha 60.00
_cell_angle_beta 60.00
_cell_angle_gamma 60.00
_space_group_name_H-M_alt 'P 1'
_space_group_IT_number 1
_space_group_name_Hall 'P 1'
loop_
_atom_site_label
_atom_site_fract_x
_atom_site_fract_y
_atom_site_fract_z
Mg1 0.0000 0.0000 0.0000
Pu1 0.2500 0.2500 0.2500
Zr1 0.7500 0.7500 0.7500
```

## Properties
- Distance to the lowest polymorph of the same formula: 0 meV per atom
- VASP energy: -7.290 eV per atom
- SG: F-43m

***

Record 9
Density functional theory data (PBE) for a relaxed RbMgRe crystal.

Geometry as CIF:
```
data_RbMgRe
_chemical_formula_sum 'Rb1 Mg1 Re1'
_cell_length_a 5.0952
_cell_length_b 5.0952
_cell_length_c 5.0952
_cell_angle_alpha 60.00
_cell_angle_beta 60.00
_cell_angle_gamma 60.00
_space_group_name_H-M_alt 'P 1'
_space_group_IT_number 1
_space_group_name_Hall 'P 1'
loop_
_atom_site_label
_atom_site_fract_x
_atom_site_fract_y
_atom_site_fract_z
Rb1 0.7500 0.7500 0.7500
Mg1 0.2500 0.2500 0.2500
Re1 0.0000 0.0000 0.0000
```

## Properties
- Distance to the lowest polymorph of the same formula: 0 meV per atom
- VASP energy: -2.968 eV per atom
- SG: F-43m

***

Record 10
Density functional theory data (PBE) for a relaxed RbMgRe crystal.

Geometry as CIF:
```
data_RbMgRe
_chemical_formula_sum 'Rb1 Mg1 Re1'
_cell_length_a 5.4149
_cell_length_b 5.4149
_cell_length_c 5.4149
_cell_angle_alpha 60.00
_cell_angle_beta 60.00
_cell_angle_gamma 60.00
_space_group_name_H-M_alt 'P 1'
_space_group_IT_number 1
_space_group_name_Hall 'P 1'
loop_
_atom_site_label
_atom_site_fract_x
_atom_site_fract_y
_atom_site_fract_z
Rb1 0.0000 0.0000 0.0000
Mg1 0.2500 0.2500 0.2500
Re1 0.7500 0.7500 0.7500
```

## Properties
- Distance to the lowest polymorph of the same formula: 454 meV per atom
- VASP energy: -2.515 eV per atom
- SG: F-43m

***

Record 11
Density functional theory data (PBE) for a relaxed Rb2MgReS6 crystal.

Geometry as CIF:
```
data_Rb2MgReS6
_chemical_formula_sum 'Rb4 Mg2 Re2 S12'
_cell_length_a 6.8984
_cell_length_b 6.9348
_cell_length_c 11.9689
_cell_angle_alpha 90.00
_cell_angle_beta 125.18
_cell_angle_gamma 90.00
_space_group_name_H-M_alt 'P 1'
_space_group_IT_number 1
_space_group_name_Hall 'P 1'
loop_
_atom_site_label
_atom_site_fract_x
_atom_site_fract_y
_atom_site_fract_z
Rb1 0.7480 0.9976 0.7481
S1 0.7432 0.2633 0.4992
Rb2 0.2520 0.4976 0.7519
Rb3 0.7480 0.5024 0.2481
S2 0.7395 0.0026 0.2404
S3 0.7403 0.7414 0.5013
S4 0.7395 0.4974 0.7404
S5 0.2597 0.2414 0.9987
Mg1 0.0000 0.0000 0.5000
Re1 0.5000 0.5000 0.5000
S6 0.7403 0.7586 0.0013
Re2 0.5000 0.0000 0.0000
Rb4 0.2520 0.0024 0.2519
S7 0.2568 0.7633 0.0008
Mg2 0.0000 0.5000 0.0000
S8 0.7432 0.2367 0.9992
S9 0.2605 0.9974 0.7596
S10 0.2597 0.2586 0.4987
S11 0.2568 0.7367 0.5008
S12 0.2605 0.5026 0.2596
```

## Properties
- VASP energy: -4.555 eV per atom
- SG: P2_1/c

***

Record 12
Density functional theory data (PBE) for a relaxed Rb2MgReSe6 crystal.

Geometry as CIF:
```
data_Rb2MgReSe6
_chemical_formula_sum 'Rb2 Mg1 Re1 Se6'
_cell_length_a 7.2600
_cell_length_b 7.2600
_cell_length_c 7.2600
_cell_angle_alpha 120.02
_cell_angle_beta 120.02
_cell_angle_gamma 89.97
_space_group_name_H-M_alt 'P 1'
_space_group_IT_number 1
_space_group_name_Hall 'P 1'
loop_
_atom_site_label
_atom_site_fract_x
_atom_site_fract_y
_atom_site_fract_z
Se1 0.2429 0.2429 0.4859
Rb1 0.2500 0.7500 0.5000
Se2 0.2433 0.2433 0.0000
Rb2 0.7500 0.2500 0.5000
Se3 0.7567 0.7567 0.0000
Se4 0.7571 0.7571 0.5141
Se5 0.2429 0.7571 0.0000
Mg1 0.5000 0.5000 0.0000
Se6 0.7571 0.2429 0.0000
Re1 0.0000 0.0000 0.0000
```

## Properties
- VASP energy: -4.098 eV per atom
- SG: Fm-3m

***

- VASP energy of number 12 (Rb2MgReSe6)?
  -4.098 eV per atom